Entry 1:
## Ca6MgIn2 (GGA-PBE)

Data for an optimized crystal structure of Ca6MgIn2.

Calculated values
Total energy (Ha/atom): -0.0865
DFT formation energy (eV/atom): -0.23

a = 5.466 Å, b = 10.357 Å, c = 10.366 Å
α = 90.00°, β = 90.00°, γ = 90.00°
Sites, in units of the cell vectors:
Ca1 0.000 0.373 0.126
Ca2 0.500 0.526 0.314
Ca3 0.000 0.685 0.527
Ca4 0.500 0.873 0.374
Ca5 0.000 0.627 0.874
Ca6 0.500 0.185 0.973
Ca7 0.500 0.815 0.027
Ca8 0.000 0.315 0.473
Ca9 0.000 0.026 0.186
Ca10 0.000 0.974 0.814
Ca11 0.500 0.474 0.686
Ca12 0.500 0.127 0.626
In1 0.000 0.701 0.202
In2 0.000 0.299 0.798
In3 0.500 0.201 0.298
In4 0.500 0.799 0.702
Mg1 0.500 0.500 0.000
Mg2 0.000 0.000 0.500

=====

Entry 2:
## CaMg4In7 (GGA-PBE)

Data for an optimized crystal structure of CaMg4In7.

Calculated values
Total energy (Ha/atom): -0.0849
DFT formation energy (eV/atom): -0.02

a = 5.903 Å, b = 9.516 Å, c = 6.757 Å
α = 82.38°, β = 64.10°, γ = 71.93°
Sites, in units of the cell vectors:
Mg1 0.575 0.233 0.617
Mg2 0.716 0.687 0.881
Mg3 0.425 0.767 0.383
Mg4 0.284 0.313 0.119
In1 0.219 0.082 0.480
In2 0.500 0.000 0.000
In3 0.336 0.560 0.768
In4 0.046 0.621 0.286
In5 0.664 0.440 0.232
In6 0.781 0.918 0.520
In7 0.954 0.379 0.714
Ca1 0.000 0.000 0.000

=====

Entry 3:
## Ca3Mg2In9 (GGA-PBE)

Data for an optimized crystal structure of Ca3Mg2In9.

Calculated values
Total energy (Ha/atom): -0.0990
DFT formation energy (eV/atom): -0.28

a = 4.736 Å, b = 9.284 Å, c = 9.284 Å
α = 74.61°, β = 75.22°, γ = 75.22°
Sites, in units of the cell vectors:
Ca1 0.293 0.707 0.707
Ca2 0.000 0.000 0.000
Ca3 0.707 0.293 0.293
In1 0.851 0.438 0.859
In2 0.851 0.859 0.438
In3 0.356 0.274 0.014
In4 0.000 0.500 0.500
In5 0.149 0.562 0.141
In6 0.149 0.141 0.562
In7 0.644 0.986 0.726
In8 0.644 0.726 0.986
In9 0.356 0.014 0.274
Mg1 0.500 0.674 0.326
Mg2 0.500 0.326 0.674

=====

no.,spin magnetization (μB/f.u.)
1,0.00
2,0.00
3,0.00